SeBr2ClF | GGA-PBE | relaxed

a b c (Å): 5.3336 5.3336 4.9744
angles (deg): 90.00 90.00 90.00
Last column: nearest neighbours and their distance in Å.
Sites, in units of the cell vectors:
F 0.5000 0.5000 0.5000  8 Br 3.65, 4 Se 3.77
Br 0.5000 0.0000 0.0000  2 Cl 2.67
Br 0.0000 0.5000 0.0000  2 Cl 2.67
Se 0.0000 0.0000 0.5000  2 Cl 2.49
Cl 0.0000 0.0000 0.0000  2 Se 2.49, 4 Br 2.67

Values from the calculation:
The value obtained for the energy above the most stable polymorph in this dataset is 265 meV per atom. Its formation energy (no corrections) is 0.65 eV per atom.

---

BaAgRu | GGA-PBE | relaxed

a b c (Å): 4.5563 4.5563 4.6794
angles (deg): 90.00 90.00 120.00
Last column: nearest neighbours and their distance in Å.
Sites, in units of the cell vectors:
Ag 0.0000 0.0000 0.8336  3 Ru 2.63
Ru 0.3333 0.6667 0.8329  3 Ag 2.63
Ba 0.6667 0.3333 0.3334  6 Ru 3.52, 6 Ag 3.52

Values from the calculation:
As for the energy of formation: 552 meV per atom. The value obtained for the energy above the most stable polymorph in this dataset is 0 meV per atom.

---

MgMnCo | GGA-PBE | relaxed

a b c (Å): 3.0863 6.7112 4.3037
angles (deg): 89.97 90.00 103.29
Last column: nearest neighbours and their distance in Å.
Sites, in units of the cell vectors:
Mn 0.9329 0.6735 0.2600  2 Co 2.38, 4 Mn 2.65-2.66
Mn 0.4471 0.7030 0.7600  2 Co 2.38, 4 Mn 2.65-2.66
Co 0.8089 0.4255 0.7583  2 Mn 2.38
Co 0.5713 0.9511 0.2587  2 Mn 2.38
Mg 0.2603 0.3269 0.2581  6 Co 2.72-2.90, 2 Mn 2.74, 2 Mg 2.81
Mg 0.1199 0.0496 0.7583  6 Co 2.72-2.90, 2 Mn 2.74, 2 Mg 2.81

Values from the calculation:
As for the energy of formation: 166 meV per atom. The value obtained for the energy above the most stable polymorph in this dataset is 98 meV per atom.

---

Rb3MoCl6 | GGA-PBE | relaxed

a b c (Å): 7.6247 7.9409 13.1976
angles (deg): 90.00 56.08 90.00
Last column: nearest neighbours and their distance in Å.
Sites, in units of the cell vectors:
Cl 0.7887 0.6708 0.4484  1 Mo 2.47
Cl 0.3118 0.9721 0.7876  1 Mo 2.47
Cl 0.2112 0.1708 0.0516  1 Mo 2.47
Cl 0.8935 0.2613 0.9447  1 Mo 2.48
Cl 0.6882 0.4721 0.7124  1 Mo 2.47
Cl 0.6882 0.0279 0.2124  1 Mo 2.47
Cl 0.3118 0.5279 0.2876  1 Mo 2.47
Cl 0.2113 0.3292 0.5516  1 Mo 2.47
Cl 0.1065 0.7387 0.0553  1 Mo 2.48
Cl 0.8935 0.2387 0.4447  1 Mo 2.48
Cl 0.7887 0.8292 0.9484  1 Mo 2.47
Cl 0.1065 0.7613 0.5553  1 Mo 2.48
Mo 0.0000 0.0000 0.0000  6 Cl 2.47-2.48
Mo 0.0000 0.5000 0.5000  6 Cl 2.47-2.48
Rb 0.2230 0.9314 0.2549  6 Cl 3.33-3.56
Rb 0.7770 0.4314 0.2451  6 Cl 3.33-3.56
Rb 0.7770 0.0686 0.7451  6 Cl 3.33-3.56
Rb 0.2230 0.5686 0.7549  6 Cl 3.33-3.56
Rb 0.5000 0.0000 0.5000  6 Cl 3.23-3.27
Rb 0.5000 0.5000 0.0000  6 Cl 3.23-3.27

Values from the calculation:
The value obtained for the energy above the most stable polymorph in this dataset is 0 meV per atom. Its formation energy (no corrections) is -1.54 eV per atom.

---

Th6Re2Ag | GGA-PBE | relaxed

a b c (Å): 4.4928 7.9304 7.9304
angles (deg): 120.00 90.00 90.00
Last column: nearest neighbours and their distance in Å.
Sites, in units of the cell vectors:
Ag 0.5000 0.0000 0.0000  9 Th 3.12-3.29
Th 0.5000 0.5846 0.5846  4 Re 3.28, 1 Ag 3.29, 6 Th 3.34-3.67
Th 0.5000 0.0000 0.4154  4 Re 3.28, 1 Ag 3.29, 6 Th 3.34-3.67
Th 0.0000 0.2723 0.2723  2 Re 2.92, 2 Ag 3.12
Th 0.0000 0.0000 0.7277  2 Re 2.92, 2 Ag 3.12
Th 0.0000 0.7277 0.0000  2 Re 2.92, 2 Ag 3.12
Th 0.5000 0.4154 0.0000  4 Re 3.28, 1 Ag 3.29, 6 Th 3.34-3.67
Re 0.0000 0.3333 0.6667  3 Th 2.92
Re 0.0000 0.6667 0.3333  3 Th 2.92

Values from the calculation:
As for the energy of formation: 123 meV per atom.

---

SrB2Rh6 | GGA-PBE | relaxed

a b c (Å): 7.6133 7.6133 7.6133
angles (deg): 60.00 60.00 60.00
Last column: nearest neighbours and their distance in Å.
Sites, in units of the cell vectors:
B 0.6250 0.1250 0.1250  6 Rh 2.04
B 0.1250 0.1250 0.1250  6 Rh 2.04
B 0.1250 0.6250 0.1250  6 Rh 2.04
B 0.1250 0.1250 0.6250  6 Rh 2.04
Rh 0.1932 0.8068 0.8068  2 B 2.04
Rh 0.8068 0.1932 0.1932  2 B 2.04
Rh 0.8068 0.1932 0.8068  2 B 2.04
Rh 0.1932 0.1932 0.8068  2 B 2.04
Rh 0.1932 0.8068 0.1932  2 B 2.04
Rh 0.4432 0.0568 0.0568  2 B 2.04
Rh 0.0568 0.0568 0.4432  2 B 2.04
Rh 0.4432 0.0568 0.4432  2 B 2.04
Rh 0.0568 0.4432 0.0568  2 B 2.04
Rh 0.8068 0.8068 0.1932  2 B 2.04
Rh 0.0568 0.4432 0.4432  2 B 2.04
Rh 0.4432 0.4432 0.0568  2 B 2.04
Sr 0.7500 0.7500 0.7500  6 Rh 3.30
Sr 0.5000 0.5000 0.5000  6 Rh 3.30

Values from the calculation:
As for the energy of formation: 5 meV per atom.

---

HfCrRu3 | GGA-PBE | relaxed

a b c (Å): 4.6724 4.6724 4.6724
angles (deg): 90.00 90.00 90.00
Last column: nearest neighbours and their distance in Å.
Sites, in units of the cell vectors:
Cr 0.5000 0.5000 0.5000  12 Ru 3.30
Ru 0.0000 0.0000 0.5000  2 Hf 2.34
Ru 0.5000 0.0000 0.0000  2 Hf 2.34
Ru 0.0000 0.5000 0.0000  2 Hf 2.34
Hf 0.0000 0.0000 0.0000  6 Ru 2.34

Values from the calculation:
As for the energy of formation: 1982 meV per atom. The value obtained for the energy above the most stable polymorph in this dataset is 1388 meV per atom.

---

Nd4AsPI2 | GGA-PBE | relaxed

a b c (Å): 4.2729 7.4485 8.0484
angles (deg): 107.93 90.00 90.00
Last column: nearest neighbours and their distance in Å.
Sites, in units of the cell vectors:
Nd 0.5000 0.2200 0.1902  2 P 2.84, 1 As 2.94
Nd 0.5000 0.7800 0.8098  2 P 2.84, 1 As 2.94
Nd 0.0000 0.2578 0.8089  1 P 2.81, 2 As 2.91
Nd 0.0000 0.7422 0.1911  1 P 2.81, 2 As 2.91
I 0.0000 0.5000 0.5000  6 Nd 3.45-3.49
I 0.5000 0.0000 0.5000  6 Nd 3.38-3.39
As 0.5000 0.5000 0.0000  6 Nd 2.91-2.94
P 0.0000 0.0000 0.0000  6 Nd 2.81-2.84

Values from the calculation:
Its formation energy (no corrections) is -1.34 eV per atom.

---

BaCuAs2 | GGA-PBE | relaxed

a b c (Å): 5.4835 5.4835 5.4835
angles (deg): 129.26 129.26 74.60
Last column: nearest neighbours and their distance in Å.
Sites, in units of the cell vectors:
As 0.2500 0.7500 0.5000  4 As 3.21, 4 Ba 3.21, 4 Cu 3.32
As 0.0000 0.0000 0.0000  4 As 3.21, 4 Cu 3.21, 4 Ba 3.32
Cu 0.7500 0.2500 0.5000  4 Ba 3.21, 8 As 3.21-3.32
Ba 0.5000 0.5000 0.0000  4 Cu 3.21, 8 As 3.21-3.32

Values from the calculation:
As for the energy of formation: 46 meV per atom.

---

Mn3Rh5 | GGA-PBE | relaxed

a b c (Å): 4.8751 7.2131 7.2134
angles (deg): 96.56 109.74 70.26
Last column: nearest neighbours and their distance in Å.
Sites, in units of the cell vectors:
Rh 0.5741 0.1488 0.2960  6 Mn 2.52-2.81, 3 Rh 2.78-2.82
Rh 0.4268 0.8510 0.7047  6 Mn 2.52-2.81, 3 Rh 2.78-2.82
Rh 0.7232 0.7044 0.1494  6 Mn 2.52-2.81, 3 Rh 2.78-2.82
Rh 0.7505 0.5001 0.5007  2 Rh 2.44, 4 Mn 2.61
Rh 0.9271 0.2956 0.1494  6 Mn 2.52-2.81, 3 Rh 2.78-2.82
Rh 0.0738 0.7043 0.8516  6 Mn 2.52-2.81, 3 Rh 2.77-2.82
Rh 0.2504 0.5000 0.5003  2 Rh 2.44, 4 Mn 2.61
Rh 0.2230 0.8512 0.2960  6 Mn 2.52-2.81, 3 Rh 2.78-2.82
Rh 0.7776 0.1491 0.7047  6 Mn 2.52-2.81, 3 Rh 2.78-2.82
Rh 0.2777 0.2957 0.8516  6 Mn 2.52-2.81, 3 Rh 2.77-2.82
Mn 0.2503 0.0000 0.0003  2 Mn 2.44, 8 Rh 2.55-2.56
Mn 0.1703 0.1605 0.5005  10 Rh 2.52-2.81
Mn 0.7503 0.0000 0.0002  2 Mn 2.44, 8 Rh 2.56
Mn 0.3309 0.5000 0.1610  10 Rh 2.52-2.81
Mn 0.8306 0.8395 0.5005  10 Rh 2.52-2.81
Mn 0.6701 0.5000 0.8401  10 Rh 2.52-2.81

Values from the calculation:
As for the energy of formation: 47 meV per atom.

---

Which DOS at the Fermi energy belongs to each record? In order, 9.0; 5.3; 3.9; 0.0; 12.7; 23.3; 12.5; 3.1; 2.6; 22.7 states/eV per cell.
Which electronic total energy belongs to each record? In order, -1.456; -4.132; -5.791; -4.026; -7.906; -6.566; -7.498; -5.364; -3.784; -7.987 eV per atom.